# TaTeMo2 | the Alexandria database | PBEsol | relaxed
data_TaTeMo2
_cell_length_a 3.1630
_cell_length_b 3.1630
_cell_length_c 24.7629
_cell_angle_alpha 90.00
_cell_angle_beta 90.00
_cell_angle_gamma 120.00
_symmetry_space_group_name_H-M 'R -3 m'
_symmetry_Int_Tables_number 166
_symmetry_space_group_name_Hall '-R 3 2"'
loop_
_atom_site_label
_atom_site_type_symbol
_atom_site_fract_x
_atom_site_fract_y
_atom_site_fract_z
_atom_site_occupancy
Ta1 Ta 0.0000 0.0000 0.0000 1
Te1 Te 0.0000 0.0000 0.5000 1
Mo1 Mo 0.0000 0.0000 0.2532 1
# - Uncorrected formation energy: 0.36 eV per atom

***

# KCaSN2 | the Alexandria database | PBEsol | relaxed
data_KCaSN2
_cell_length_a 4.635
_cell_length_b 4.635
_cell_length_c 5.703
_cell_angle_alpha 90.00
_cell_angle_beta 90.00
_cell_angle_gamma 90.00
_symmetry_space_group_name_H-M 'P 4/m m m'
_symmetry_Int_Tables_number 123
_symmetry_space_group_name_Hall '-P 4 2'
loop_
_atom_site_label
_atom_site_type_symbol
_atom_site_fract_x
_atom_site_fract_y
_atom_site_fract_z
_atom_site_occupancy
K1 K 0.000 0.000 0.000 1
Ca1 Ca 0.500 0.500 0.500 1
S1 S 0.000 0.000 0.500 1
N1 N 0.000 0.500 0.000 1
# - Uncorrected formation energy: 1.29 eV per atom

***

# Ir3Ru | the Alexandria database | PBEsol | relaxed
data_Ir3Ru
_cell_length_a 2.715
_cell_length_b 8.703
_cell_length_c 4.702
_cell_angle_alpha 90.00
_cell_angle_beta 90.00
_cell_angle_gamma 90.00
_symmetry_space_group_name_H-M 'I m m 2'
_symmetry_Int_Tables_number 44
loop_
_symmetry_equiv_pos_as_xyz
'x,y,z'
'-x,-y,z'
'-x,y,z'
'x,-y,z'
'x+1/2,y+1/2,z+1/2'
'-x+1/2,-y+1/2,z+1/2'
'-x+1/2,y+1/2,z+1/2'
'x+1/2,-y+1/2,z+1/2'
loop_
_atom_site_label
_atom_site_type_symbol
_atom_site_fract_x
_atom_site_fract_y
_atom_site_fract_z
_atom_site_occupancy
Ir1 Ir 0.000 0.000 0.000 1
Ir2 Ir 0.000 0.249 0.334 1
Ru1 Ru 0.000 0.500 0.999 1
# - Formation energy from the elements: 12.0 meV per atom

***

# LiCrO2 | the Alexandria database | PBEsol | relaxed
data_LiCrO2
_cell_length_a 3.972
_cell_length_b 3.972
_cell_length_c 8.662
_cell_angle_alpha 90.00
_cell_angle_beta 90.00
_cell_angle_gamma 90.00
_symmetry_space_group_name_H-M 'I 41/a m d'
_symmetry_Int_Tables_number 141
loop_
_symmetry_equiv_pos_as_xyz
'x,y,z'
'-x,-y,-z'
'-y+1/4,x+3/4,z+1/4'
'y+1/4,-x+3/4,-z+1/4'
'-x+1/2,-y,z+1/2'
'x+1/2,y,-z+1/2'
'y+1/4,-x+1/4,z+3/4'
'-y+1/4,x+1/4,-z+3/4'
'x,-y,-z'
'-x,y,z'
'-y+1/4,-x+1/4,-z+3/4'
'y+1/4,x+1/4,z+3/4'
'-x+1/2,y,-z+1/2'
'x+1/2,-y,z+1/2'
'y+1/4,x+3/4,-z+1/4'
'-y+1/4,-x+3/4,z+1/4'
'x+1/2,y+1/2,z+1/2'
'-x+1/2,-y+1/2,-z+1/2'
'-y+3/4,x+1/4,z+3/4'
'y+3/4,-x+1/4,-z+3/4'
'-x,-y+1/2,z'
'x,y+1/2,-z'
'y+3/4,-x+3/4,z+1/4'
'-y+3/4,x+3/4,-z+1/4'
'x+1/2,-y+1/2,-z+1/2'
'-x+1/2,y+1/2,z+1/2'
'-y+3/4,-x+3/4,-z+1/4'
'y+3/4,x+3/4,z+1/4'
'-x,y+1/2,-z'
'x,-y+1/2,z'
'y+3/4,x+1/4,-z+3/4'
'-y+3/4,-x+1/4,z+3/4'
loop_
_atom_site_label
_atom_site_type_symbol
_atom_site_fract_x
_atom_site_fract_y
_atom_site_fract_z
_atom_site_occupancy
Li1 Li 0.000 0.250 0.375 1
Cr1 Cr 0.000 0.250 0.875 1
O1 O 0.000 0.250 0.103 1
# - Uncorrected formation energy: -2.00 eV per atom
# - Energy above the lowest structure with this stoichiometry: 44 meV per atom

***

# KLa2CrCu | the Alexandria database | PBEsol | relaxed
data_KLa2CrCu
_cell_length_a 5.133
_cell_length_b 5.133
_cell_length_c 5.023
_cell_angle_alpha 90.00
_cell_angle_beta 90.00
_cell_angle_gamma 90.00
_symmetry_space_group_name_H-M 'P 4/m m m'
_symmetry_Int_Tables_number 123
_symmetry_space_group_name_Hall '-P 4 2'
loop_
_atom_site_label
_atom_site_type_symbol
_atom_site_fract_x
_atom_site_fract_y
_atom_site_fract_z
_atom_site_occupancy
K1 K 0.000 0.000 0.000 1
La1 La 0.000 0.500 0.500 1
Cr1 Cr 0.500 0.500 0.500 1
Cu1 Cu 0.500 0.500 0.000 1
# - Formation energy from the elements: 619.8 meV per atom

***

# SrLi2Hg | the Alexandria database | PBEsol | relaxed
data_SrLi2Hg
_cell_length_a 4.7015
_cell_length_b 4.7015
_cell_length_c 16.5245
_cell_angle_alpha 90.00
_cell_angle_beta 90.00
_cell_angle_gamma 120.00
_symmetry_space_group_name_H-M 'R 3 m'
_symmetry_Int_Tables_number 160
_symmetry_space_group_name_Hall 'R 3 -2"'
loop_
_atom_site_label
_atom_site_type_symbol
_atom_site_fract_x
_atom_site_fract_y
_atom_site_fract_z
_atom_site_occupancy
Sr1 Sr 0.0000 0.0000 0.0000 1
Li1 Li 0.0000 0.0000 0.5126 1
Li2 Li 0.0000 0.0000 0.8046 1
Hg1 Hg 0.0000 0.0000 0.2018 1
# - Formation energy from the elements: -284.4 meV per atom

***

# ZrTaSi2 | the Alexandria database | PBEsol | relaxed
data_ZrTaSi2
_cell_length_a 3.723
_cell_length_b 3.578
_cell_length_c 9.584
_cell_angle_alpha 90.00
_cell_angle_beta 90.00
_cell_angle_gamma 90.00
_symmetry_space_group_name_H-M 'A m m 2'
_symmetry_Int_Tables_number 38
loop_
_symmetry_equiv_pos_as_xyz
'x,y,z'
'-x,-y,z'
'-x,y,z'
'x,-y,z'
'x,y+1/2,z+1/2'
'-x,-y+1/2,z+1/2'
'-x,y+1/2,z+1/2'
'x,-y+1/2,z+1/2'
loop_
_atom_site_label
_atom_site_type_symbol
_atom_site_fract_x
_atom_site_fract_y
_atom_site_fract_z
_atom_site_occupancy
Zr1 Zr 0.000 0.000 0.000 1
Ta1 Ta 0.500 0.000 0.710 1
Si1 Si 0.000 0.000 0.275 1
Si2 Si 0.500 0.000 0.432 1
# - Uncorrected formation energy: -0.73 eV per atom
# - Energy above the lowest structure with this stoichiometry: 0 meV per atom

***

# ZnInCl2 | the Alexandria database | PBEsol | relaxed
data_ZnInCl2
_cell_length_a 3.500
_cell_length_b 5.770
_cell_length_c 8.895
_cell_angle_alpha 90.00
_cell_angle_beta 90.00
_cell_angle_gamma 90.00
_symmetry_space_group_name_H-M 'I m m 2'
_symmetry_Int_Tables_number 44
loop_
_symmetry_equiv_pos_as_xyz
'x,y,z'
'-x,-y,z'
'-x,y,z'
'x,-y,z'
'x+1/2,y+1/2,z+1/2'
'-x+1/2,-y+1/2,z+1/2'
'-x+1/2,y+1/2,z+1/2'
'x+1/2,-y+1/2,z+1/2'
loop_
_atom_site_label
_atom_site_type_symbol
_atom_site_fract_x
_atom_site_fract_y
_atom_site_fract_z
_atom_site_occupancy
Zn1 Zn 0.000 0.000 0.000 1
In1 In 0.000 0.500 0.261 1
Cl1 Cl 0.000 0.000 0.519 1
Cl2 Cl 0.000 0.500 0.690 1
# - Uncorrected formation energy: -0.51 eV per atom
# - Energy above the lowest structure with this stoichiometry: 0 meV per atom

***

# KPt2 | the Alexandria database | PBEsol | relaxed
data_KPt2
_cell_length_a 2.765
_cell_length_b 18.485
_cell_length_c 4.637
_cell_angle_alpha 90.00
_cell_angle_beta 90.00
_cell_angle_gamma 90.00
_symmetry_space_group_name_H-M 'C m c m'
_symmetry_Int_Tables_number 63
_symmetry_space_group_name_Hall '-C 2c 2'
loop_
_atom_site_label
_atom_site_type_symbol
_atom_site_fract_x
_atom_site_fract_y
_atom_site_fract_z
_atom_site_occupancy
K1 K 0.000 0.062 0.250 1
Pt1 Pt 0.000 0.276 0.750 1
Pt2 Pt 0.000 0.351 0.250 1
# - Formation energy from the elements: 276.1 meV per atom

***

# La3BeAlS7 | the Alexandria database | PBEsol | relaxed
data_La3BeAlS7
_cell_length_a 10.0446
_cell_length_b 10.0446
_cell_length_c 5.8960
_cell_angle_alpha 90.00
_cell_angle_beta 90.00
_cell_angle_gamma 120.00
_symmetry_space_group_name_H-M 'P 63'
_symmetry_Int_Tables_number 173
loop_
_symmetry_equiv_pos_as_xyz
'x,y,z'
'x-y,x,z+1/2'
'-y,x-y,z'
'-x,-y,z+1/2'
'-x+y,-x,z'
'y,-x+y,z+1/2'
loop_
_atom_site_label
_atom_site_type_symbol
_atom_site_fract_x
_atom_site_fract_y
_atom_site_fract_z
_atom_site_occupancy
La1 La 0.1437 0.3904 0.0000 1
Be1 Be 0.3333 0.6667 0.4085 1
Al1 Al 0.0000 0.0000 0.2891 1
S1 S 0.0811 0.2199 0.5441 1
S2 S 0.1089 0.5890 0.2842 1
S3 S 0.3333 0.6667 0.7635 1
# - Uncorrected formation energy: -1.77 eV per atom

***

# K2SiAu | the Alexandria database | PBEsol | relaxed
data_K2SiAu
_cell_length_a 7.372
_cell_length_b 4.244
_cell_length_c 9.481
_cell_angle_alpha 90.00
_cell_angle_beta 104.03
_cell_angle_gamma 90.00
_symmetry_space_group_name_H-M 'C 1 m 1'
_symmetry_Int_Tables_number 8
loop_
_symmetry_equiv_pos_as_xyz
'x,y,z'
'x,-y,z'
'x+1/2,y+1/2,z'
'x+1/2,-y+1/2,z'
loop_
_atom_site_label
_atom_site_type_symbol
_atom_site_fract_x
_atom_site_fract_y
_atom_site_fract_z
_atom_site_occupancy
K1 K 0.000 0.000 0.000 1
K2 K 0.161 0.000 0.517 1
Si1 Si 0.247 0.500 0.258 1
Au1 Au 0.414 0.000 0.258 1
# - Uncorrected formation energy: -0.13 eV per atom

***

# HgB6 | the Alexandria database | PBEsol | relaxed
data_HgB6
_cell_length_a 4.172
_cell_length_b 4.172
_cell_length_c 4.172
_cell_angle_alpha 90.00
_cell_angle_beta 90.00
_cell_angle_gamma 90.00
_symmetry_space_group_name_H-M 'P m -3 m'
_symmetry_Int_Tables_number 221
_symmetry_space_group_name_Hall '-P 4 2 3'
loop_
_atom_site_label
_atom_site_type_symbol
_atom_site_fract_x
_atom_site_fract_y
_atom_site_fract_z
_atom_site_occupancy
Hg1 Hg 0.000 0.000 0.000 1
B1 B 0.200 0.500 0.500 1
# - Formation energy from the elements: 416.0 meV per atom

***

# Al13Cr4Si4 | the Alexandria database | PBEsol | relaxed
data_Al13Cr4Si4
_cell_length_a 10.821
_cell_length_b 10.821
_cell_length_c 10.821
_cell_angle_alpha 90.00
_cell_angle_beta 90.00
_cell_angle_gamma 90.00
_symmetry_space_group_name_H-M 'F -4 3 m'
_symmetry_Int_Tables_number 216
_symmetry_space_group_name_Hall 'F -4 2 3'
loop_
_atom_site_label
_atom_site_type_symbol
_atom_site_fract_x
_atom_site_fract_y
_atom_site_fract_z
_atom_site_occupancy
Al1 Al 0.000 0.000 0.000 1
Al2 Al 0.000 0.000 0.309 1
Al3 Al 0.059 0.250 0.250 1
Cr1 Cr 0.158 0.158 0.658 1
Si1 Si 0.128 0.128 0.872 1
# - Uncorrected formation energy: -0.20 eV per atom

***

Number 1: total energy -114.5 eV for the cell shown, calculated density 11.6 Mg/m³. Number 2: total energy -18.3 eV for the cell shown, calculated density 1.9 Mg/m³. Number 3: total energy -79.2 eV for the cell shown, calculated density 20.3 Mg/m³. Number 4: total energy -122.8 eV for the cell shown, calculated density 4.4 Mg/m³. Number 5: total energy -23.3 eV for the cell shown, calculated density 5.4 Mg/m³. Number 6: total energy -22.4 eV for the cell shown, calculated density 4.8 Mg/m³. Number 7: total energy -72.1 eV for the cell shown, calculated density 8.5 Mg/m³. Number 8: total energy -21.2 eV for the cell shown, calculated density 4.6 Mg/m³. Number 9: total energy -56.9 eV for the cell shown, calculated density 12.0 Mg/m³. Number 10: total energy -152.1 eV for the cell shown, calculated density 4.4 Mg/m³. Number 11: total energy -24.9 eV for the cell shown, calculated density 3.5 Mg/m³. Number 12: total energy -39.8 eV for the cell shown, calculated density 6.1 Mg/m³. Number 13: total energy -485.2 eV for the cell shown, calculated density 3.5 Mg/m³.